1.
Crystalline MgAg2PbO4 at its relaxed geometry. Source: the Alexandria database, functional PBE-GGA.

a = 6.004 Å, b = 6.004 Å, c = 6.004 Å
α = 127.92°, β = 127.92°, γ = 76.75°
Fractional positions:
Mg  0.000  0.000  0.000
Ag  0.250  0.750  0.500
Ag  0.500  0.500  0.000
Pb  0.750  0.250  0.500
O  0.078  0.120  0.437
O  0.359  0.922  0.042
O  0.683  0.641  0.563
O  0.880  0.317  0.958

2.
Crystalline PrMgAg2O6 at its relaxed geometry. Source: the Alexandria database, functional PBE-GGA.

a = 8.154 Å, b = 5.769 Å, c = 5.399 Å
α = 90.00°, β = 90.00°, γ = 90.00°
Fractional positions:
Pr  0.000  0.179  0.000
Pr  0.500  0.821  0.500
Mg  0.000  0.678  0.445
Mg  0.500  0.322  0.945
Ag  0.248  0.746  0.979
Ag  0.252  0.254  0.479
Ag  0.748  0.254  0.479
Ag  0.752  0.746  0.979
O  0.000  0.322  0.588
O  0.000  0.798  0.812
O  0.167  0.473  0.198
O  0.177  0.938  0.295
O  0.323  0.062  0.795
O  0.333  0.527  0.698
O  0.500  0.202  0.312
O  0.500  0.678  0.088
O  0.667  0.527  0.698
O  0.677  0.062  0.795
O  0.823  0.938  0.295
O  0.833  0.473  0.198

3.
Crystalline PuMg2Ag3O6 at its relaxed geometry. Source: the Alexandria database, functional PBE-GGA.

a = 5.523 Å, b = 5.523 Å, c = 6.398 Å
α = 102.03°, β = 102.03°, γ = 119.02°
Fractional positions:
Pu  0.000  0.000  0.000
Mg  0.335  0.665  0.000
Mg  0.665  0.335  0.000
Ag  0.169  0.831  0.500
Ag  0.500  0.500  0.500
Ag  0.831  0.169  0.500
O  0.089  0.426  0.184
O  0.247  0.247  0.813
O  0.426  0.089  0.184
O  0.574  0.911  0.816
O  0.753  0.753  0.187
O  0.911  0.574  0.816

4.
Crystalline PuMgAg2O8 at its relaxed geometry. Source: the Alexandria database, functional PBE-GGA.

a = 5.948 Å, b = 5.948 Å, c = 5.948 Å
α = 112.53°, β = 112.53°, γ = 103.51°
Fractional positions:
Pu  0.000  0.000  0.000
Mg  0.750  0.250  0.500
Ag  0.250  0.750  0.500
Ag  0.500  0.500  0.000
O  0.012  0.304  0.292
O  0.012  0.720  0.708
O  0.101  0.281  0.820
O  0.280  0.988  0.292
O  0.461  0.281  0.180
O  0.696  0.988  0.708
O  0.719  0.539  0.820
O  0.719  0.899  0.180

5.
Crystalline PuMg2Ag2O6 at its relaxed geometry. Source: the Alexandria database, functional PBE-GGA.

a = 5.450 Å, b = 5.450 Å, c = 6.277 Å
α = 101.96°, β = 101.96°, γ = 117.99°
Fractional positions:
Pu  0.000  0.000  0.000
Mg  0.337  0.663  0.000
Mg  0.663  0.337  0.000
Ag  0.317  0.683  0.500
Ag  0.683  0.317  0.500
O  0.082  0.751  0.180
O  0.249  0.918  0.820
O  0.414  0.414  0.191
O  0.586  0.586  0.809
O  0.751  0.082  0.180
O  0.918  0.249  0.820

6.
Crystalline RbMgAgO2 at its relaxed geometry. Source: the Alexandria database, functional PBE-GGA.

a = 6.819 Å, b = 6.819 Å, c = 5.521 Å
α = 90.00°, β = 90.00°, γ = 131.26°
Fractional positions:
Rb  0.250  0.750  0.781
Rb  0.750  0.250  0.219
Mg  0.250  0.250  0.000
Mg  0.750  0.750  0.000
Ag  0.000  0.000  0.500
Ag  0.500  0.500  0.500
O  0.088  0.912  0.171
O  0.412  0.588  0.171
O  0.588  0.412  0.829
O  0.912  0.088  0.829

| no. | volume (Å³/cell) | uncorrected energy (eV per atom) |
| --- | --- | --- |
| 1 | 130.8 | -4.7657 |
| 2 | 254.0 | -5.3957 |
| 3 | 155.6 | -6.3039 |
| 4 | 160.7 | -6.0511 |
| 5 | 150.7 | -6.6665 |
| 6 | 193.0 | -4.4672 |